No. 1
First-principles (GGA-PBE) data for a geometry-optimized PSeF2 structure, as listed in Alexandria.

Lattice parameters (Å, degrees): 4.238 4.238 4.238 60.00 60.00 60.00
Fractional positions:
Se1 0.500 0.500 0.500
P1 0.000 0.000 0.000
F1 0.750 0.750 0.750
F2 0.250 0.250 0.250

Properties
As for the total energy: -3.16 eV/atom.

No. 2
First-principles (GGA-PBE) data for a geometry-optimized VPt2Au structure, as listed in Alexandria.

Lattice parameters (Å, degrees): 2.810 2.810 9.348 81.36 81.36 60.00
Fractional positions:
Pt1 0.258 0.258 0.226
Pt2 0.742 0.742 0.774
V1 0.000 0.000 0.000
Au1 0.500 0.500 0.500

Properties
As for the total energy: -6.39 eV/atom.

No. 3
First-principles (GGA-PBE) data for a geometry-optimized Li2TeAs structure, as listed in Alexandria.

Lattice parameters (Å, degrees): 3.854 3.854 5.494 90.00 90.00 90.00
Fractional positions:
Te1 0.000 0.000 0.473
Li1 0.500 0.500 0.284
Li2 0.000 0.000 0.965
As1 0.500 0.500 0.777

Properties
As for the total energy: -3.18 eV/atom.

No. 4
First-principles (GGA-PBE) data for a geometry-optimized K3Ga6Sn5 structure, as listed in Alexandria.

Lattice parameters (Å, degrees): 4.673 12.090 13.933 90.00 90.00 90.00
Fractional positions:
Sn1 0.500 0.495 0.354
Sn2 0.500 0.123 0.500
Sn3 0.500 0.495 0.646
Sn4 0.000 0.861 0.323
Sn5 0.000 0.505 0.146
Sn6 0.000 0.877 0.000
Sn7 0.000 0.505 0.854
Sn8 0.000 0.861 0.677
Sn9 0.500 0.139 0.823
Sn10 0.500 0.139 0.177
Ga1 0.500 0.371 0.825
Ga2 0.000 0.629 0.325
Ga3 0.500 0.496 0.000
Ga4 0.000 0.985 0.500
Ga5 0.500 0.991 0.335
Ga6 0.500 0.371 0.175
Ga7 0.000 0.009 0.165
Ga8 0.500 0.015 0.000
Ga9 0.500 0.991 0.665
Ga10 0.000 0.504 0.500
Ga11 0.000 0.629 0.675
Ga12 0.000 0.009 0.835
K1 0.500 0.754 0.500
K2 0.000 0.256 0.347
K3 0.000 0.256 0.653
K4 0.500 0.744 0.153
K5 0.000 0.246 0.000
K6 0.500 0.744 0.847

Properties
As for the total energy: -3.09 eV/atom.

No. 5
First-principles (GGA-PBE) data for a geometry-optimized Tl2Ge2O7 structure, as listed in Alexandria.

Lattice parameters (Å, degrees): 7.119 7.119 7.119 60.00 60.00 60.00
Fractional positions:
O1 0.000 0.000 0.000
O2 0.550 0.950 0.950
O3 0.300 0.300 0.700
O4 0.550 0.950 0.550
O5 0.950 0.550 0.950
O6 0.550 0.550 0.950
O7 0.300 0.700 0.700
O8 0.700 0.700 0.300
O9 0.950 0.550 0.550
O10 0.700 0.300 0.700
O11 0.250 0.250 0.250
O12 0.950 0.950 0.550
O13 0.700 0.300 0.300
O14 0.300 0.700 0.300
Tl1 0.125 0.125 0.125
Tl2 0.625 0.125 0.125
Tl3 0.125 0.125 0.625
Tl4 0.125 0.625 0.125
Ge1 0.625 0.625 0.625
Ge2 0.625 0.625 0.125
Ge3 0.125 0.625 0.625
Ge4 0.625 0.125 0.625

Properties
As for the total energy: -5.61 eV/atom.

No. 6
First-principles (GGA-PBE) data for a geometry-optimized BeSnGe2C structure, as listed in Alexandria.

Lattice parameters (Å, degrees): 4.314 4.314 4.914 90.00 90.00 90.00
Fractional positions:
Ge1 0.500 0.000 0.000
Ge2 0.000 0.500 0.000
C1 0.500 0.500 0.500
Sn1 0.000 0.000 0.500
Be1 0.000 0.000 0.000

Properties
As for the total energy: -3.76 eV/atom.

No. 7
First-principles (GGA-PBE) data for a geometry-optimized CdIn12Bi7 structure, as listed in Alexandria.

Lattice parameters (Å, degrees): 8.267 9.569 9.569 67.94 73.26 106.74
Fractional positions:
In1 0.649 0.046 0.604
In2 0.953 0.495 0.213
In3 0.542 0.708 0.505
In4 0.396 0.650 0.954
In5 0.458 0.292 0.495
In6 0.834 0.787 0.708
In7 0.047 0.505 0.787
In8 0.166 0.213 0.292
In9 0.351 0.954 0.396
In10 0.747 0.396 0.650
In11 0.253 0.604 0.350
In12 0.604 0.350 0.046
Bi1 0.190 0.856 0.793
Bi2 0.810 0.144 0.207
Bi3 0.017 0.207 0.648
Bi4 0.666 0.648 0.144
Bi5 0.500 0.000 0.000
Bi6 0.983 0.793 0.352
Bi7 0.334 0.352 0.856
Cd1 0.000 0.000 0.000

Properties
As for the total energy: -2.99 eV/atom.

No. 8
First-principles (GGA-PBE) data for a geometry-optimized SrMgCl2 structure, as listed in Alexandria.

Lattice parameters (Å, degrees): 11.348 11.348 11.348 22.10 22.10 22.10
Fractional positions:
Mg1 0.000 0.000 0.000
Cl1 0.877 0.877 0.877
Cl2 0.123 0.123 0.123
Sr1 0.500 0.500 0.500

Properties
As for the total energy: -3.26 eV/atom.

No. 9
First-principles (GGA-PBE) data for a geometry-optimized Mo3P structure, as listed in Alexandria.

Lattice parameters (Å, degrees): 5.168 5.998 7.720 90.00 90.00 90.00
Fractional positions:
Mo1 0.141 0.311 0.448
Mo2 0.850 0.975 0.250
Mo3 0.650 0.475 0.250
Mo4 0.859 0.689 0.948
Mo5 0.359 0.811 0.448
Mo6 0.859 0.689 0.552
Mo7 0.641 0.189 0.948
Mo8 0.350 0.525 0.750
Mo9 0.150 0.025 0.750
Mo10 0.641 0.189 0.552
Mo11 0.359 0.811 0.052
Mo12 0.141 0.311 0.052
P1 0.916 0.385 0.750
P2 0.416 0.115 0.250
P3 0.584 0.885 0.750
P4 0.084 0.615 0.250

Properties
As for the total energy: -9.74 eV/atom.

No. 10
First-principles (GGA-PBE) data for a geometry-optimized AcPmBeAu structure, as listed in Alexandria.

Lattice parameters (Å, degrees): 5.309 5.309 5.309 60.00 60.00 60.00
Fractional positions:
Au1 0.000 0.000 0.000
Be1 0.500 0.500 0.500
Ac1 0.250 0.250 0.250
Pm1 0.750 0.750 0.750

Properties
As for the total energy: -4.15 eV/atom.

No. 11
First-principles (GGA-PBE) data for a geometry-optimized Fe2SiSb structure, as listed in Alexandria.

Lattice parameters (Å, degrees): 7.823 7.823 7.823 23.04 23.04 23.04
Fractional positions:
Fe1 0.000 0.000 0.000
Fe2 0.260 0.260 0.260
Sb1 0.505 0.505 0.505
Si1 0.735 0.735 0.735

Properties
As for the total energy: -6.30 eV/atom.

No. 12
First-principles (GGA-PBE) data for a geometry-optimized CaSiPt structure, as listed in Alexandria.

Lattice parameters (Å, degrees): 6.378 6.378 6.378 90.00 90.00 90.00
Fractional positions:
Si1 0.330 0.670 0.170
Si2 0.170 0.330 0.670
Si3 0.670 0.170 0.330
Si4 0.830 0.830 0.830
Pt1 0.921 0.079 0.579
Pt2 0.421 0.421 0.421
Pt3 0.579 0.921 0.079
Pt4 0.079 0.579 0.921
Ca1 0.375 0.875 0.625
Ca2 0.875 0.625 0.375
Ca3 0.625 0.375 0.875
Ca4 0.125 0.125 0.125

Properties
As for the total energy: -5.47 eV/atom.

What is the formula in the eleventh record?
Fe2SiSb